[1]
# TmLuCuRh

A geometry-optimized TmLuCuRh structure (PBE, Alexandria).

Structure (CIF):
```
data_TmLuCuRh
_chemical_formula_sum 'Tm4 Lu4 Cu4 Rh4'
_cell_length_a 6.7845
_cell_length_b 6.7845
_cell_length_c 6.7845
_cell_angle_alpha 90.00
_cell_angle_beta 90.00
_cell_angle_gamma 90.00
_symmetry_space_group_name_H-M 'F -4 3 m'
_symmetry_Int_Tables_number 216
_symmetry_space_group_name_Hall 'F -4 2 3'
loop_
_atom_site_label
_atom_site_type_symbol
_atom_site_fract_x
_atom_site_fract_y
_atom_site_fract_z
_atom_site_occupancy
Tm1 Tm 0.0000 0.0000 0.0000 1
Lu1 Lu 0.0000 0.0000 0.5000 1
Cu1 Cu 0.2500 0.2500 0.7500 1
Rh1 Rh 0.2500 0.2500 0.2500 1
```

Calculated values
The calculation puts the formation energy at -2.55 eV/f.u. The value obtained for the density of states at the Fermi level is 0.8284 states/eV/atom. As for the size of the total moment: 0.000 μB per formula unit. For the volume, the calculation gives 312 Å³/cell. Its calculated total energy is -5.747 eV per atom.

=====

[2]
# LuZrCuRh

A geometry-optimized LuZrCuRh structure (PBE, Alexandria).

Structure (CIF):
```
data_LuZrCuRh
_chemical_formula_sum 'Lu4 Zr4 Cu4 Rh4'
_cell_length_a 6.6714
_cell_length_b 6.6714
_cell_length_c 6.6714
_cell_angle_alpha 90.00
_cell_angle_beta 90.00
_cell_angle_gamma 90.00
_symmetry_space_group_name_H-M 'F -4 3 m'
_symmetry_Int_Tables_number 216
_symmetry_space_group_name_Hall 'F -4 2 3'
loop_
_atom_site_label
_atom_site_type_symbol
_atom_site_fract_x
_atom_site_fract_y
_atom_site_fract_z
_atom_site_occupancy
Lu1 Lu 0.0000 0.0000 0.0000 1
Zr1 Zr 0.0000 0.0000 0.5000 1
Cu1 Cu 0.2500 0.2500 0.2500 1
Rh1 Rh 0.2500 0.2500 0.7500 1
```

Calculated values
The calculation puts the formation energy at -2.14 eV/f.u. The value obtained for the density of states at the Fermi level is 0.6791 states/eV/atom. As for the size of the total moment: 0.003 μB per formula unit. For the volume, the calculation gives 297 Å³/cell. Its calculated total energy is -6.663 eV per atom.